Material: Sr2Si3
Method: DFT, PBE
State: optimized geometry

Calculated values
Distance to the lowest polymorph of the same formula = 0.1343 eV/atom
Volume = 241.43 Å³ per cell
Formation energy (no corrections) = -266 meV/atom
Space group = No. 43

Lattice parameters (Å, degrees): 9.4587 8.4479 5.9549 80.06 61.61 38.33
Element x y z (fractional)
Si  0.7897  0.9516  0.8500
Si  0.4000  0.8412  0.4603
Si  0.2984  0.4603  0.8412
Si  0.0918  0.9082  0.9082
Si  0.3418  0.1582  0.1582
Si  0.4088  0.8500  0.9516
Sr  0.7328  0.8634  0.4268
Sr  0.3866  0.5172  0.2730
Sr  0.9770  0.4268  0.8634
Sr  0.8232  0.2730  0.5172